[1]
Al2CuPb: relaxed, GGA-PBE.

The structure belongs to space group F-43m (No. 216); the cell edges are 6.8218, 6.8218 and 6.8218 Å and the angles 90.00°, 90.00° and 90.00°. Symmetry generates all atoms from Al at (0.0000, 0.0000, 0.0000), Al at (0.2500, 0.2500, 0.2500), Cu at (0.0000, 0.0000, 0.5000) and Pb at (0.2500, 0.2500, 0.7500).

The formation energy is 0.365 eV/atom.

---

[2]
AlCuPb: relaxed, GGA-PBE.

The structure belongs to space group Pnma (No. 62); the cell edges are 5.7581, 4.1270 and 10.6527 Å and the angles 90.00°, 90.00° and 90.00°. Symmetry generates all atoms from Al at (0.1072, 0.2500, 0.0588), Cu at (0.0305, 0.2500, 0.8262) and Pb at (0.0911, 0.2500, 0.3526).

The formation energy is 0.165 eV/atom.

---

[3]
AlCu2Pb: relaxed, GGA-PBE.

The structure belongs to space group P4/mmm (No. 123); the cell edges are 4.1859, 4.1859 and 3.9720 Å and the angles 90.00°, 90.00° and 90.00°. Symmetry generates all atoms from Al at (0.0000, 0.0000, 0.0000), Cu at (0.0000, 0.5000, 0.5000) and Pb at (0.5000, 0.5000, 0.0000).

Its polymorph energy (0 for the lowest one) is 164 meV/atom. The formation energy is 0.272 eV/atom.

---

[4]
AlCuPb2: relaxed, GGA-PBE.

The structure belongs to space group Pmm2 (No. 25); the cell edges are 3.3587, 3.4008 and 8.2594 Å and the angles 90.00°, 90.00° and 90.00°. Symmetry generates all atoms from Al at (0.0000, 0.0000, 0.0000), Cu at (0.5000, 0.5000, 0.8724), Pb at (0.0000, 0.0000, 0.6345) and Pb at (0.5000, 0.5000, 0.2473).

The formation energy is 0.105 eV/atom.

---

[5]
AlCu2Pb: relaxed, GGA-PBE.

The structure belongs to space group Cmmm (No. 65); the cell edges are 5.8222, 6.8919 and 3.5197 Å and the angles 90.00°, 90.00° and 90.00°. Symmetry generates all atoms from Al at (0.0000, 0.0000, 0.0000), Cu at (0.2500, 0.2500, 0.5000) and Pb at (0.0000, 0.5000, 0.0000).

Its polymorph energy (0 for the lowest one) is 155 meV/atom. The formation energy is 0.262 eV/atom.

---

[6]
Al2CuPb: relaxed, GGA-PBE.

The structure belongs to space group I4/mmm (No. 139); the cell edges are 4.1031, 4.1031 and 9.1936 Å and the angles 90.00°, 90.00° and 90.00°. Symmetry generates all atoms from Al at (0.0000, 0.5000, 0.2500), Cu at (0.0000, 0.0000, 0.0000) and Pb at (0.0000, 0.0000, 0.5000).

The formation energy is 0.287 eV/atom.

---

[7]
AlCuPb: relaxed, GGA-PBE.

The structure belongs to space group P2_1 (No. 4); the cell edges are 3.9001, 3.3605 and 9.7520 Å and the angles 90.00°, 101.32° and 90.00°. Symmetry generates all atoms from Al at (0.0553, 0.0000, 0.1151), Cu at (0.4544, 0.0004, 0.9026) and Pb at (0.3236, 0.4982, 0.6413).

The formation energy is 0.029 eV/atom.

---

[8]
Al2CuPb: relaxed, GGA-PBE.

The structure belongs to space group Cm (No. 8); the cell edges are 8.5283, 3.3381 and 5.8085 Å and the angles 90.00°, 102.63° and 90.00°. Symmetry generates all atoms from Al at (0.0000, 0.0000, 0.0000), Al at (0.2492, 0.0000, 0.7776), Cu at (0.0208, 0.5000, 0.6690) and Pb at (0.2713, 0.5000, 0.3257).

The formation energy is 0.142 eV/atom.

---

| no. | total moment (μB/atom) |
| --- | --- |
| 1 | 0.00 |
| 2 | 0.00 |
| 3 | 0.00 |
| 4 | 0.00 |
| 5 | 0.00 |
| 6 | 0.00 |
| 7 | 0.00 |
| 8 | 0.00 |